A geometry-optimized La2PrHo structure. Source: Alexandria via LeMat-Bulk, functional PBE.

* electronic total energy: -4.6917 eV per atom
* polymorph energy (0 for the lowest one): 0.40 eV per formula unit
* D(E_F): 9.60 states/eV/f.u.
* symmetry: Fm-3m, No. 225
* calculated density: 6.8 Mg/m³
* formation enthalpy at 0 K: 0.11 eV per atom

Cell lengths 5.872, 5.872, 5.872 Å; angles 60.00, 60.00, 60.00 degrees
Fractional positions:
Ho 0.000 0.000 0.000
La 0.750 0.750 0.750
Pr 0.500 0.500 0.500
La 0.250 0.250 0.250

***

A geometry-optimized SiPd3W structure. Source: Alexandria via LeMat-Bulk, functional PBE.

* electronic total energy: -6.0874 eV per atom
* energy relative to the elements, uncorrected: 0.704 eV/atom
* polymorph energy (0 for the lowest one): 0.00 eV per formula unit
* D(E_F): 3.58 states/eV/f.u.
* symmetry: Pm-3m, No. 221
* calculated density: 9.9 Mg/m³

Cell lengths 4.467, 4.467, 4.467 Å; angles 90.00, 90.00, 90.00 degrees
Each line ends with the local moment (μB).
Fractional positions:
Si 0.000 0.000 0.000  -0.03
Pd 0.500 0.000 0.000  0.08
Pd 0.000 0.500 0.000  0.07
W 0.500 0.500 0.500  2.41
Pd 0.000 0.000 0.500  0.06

***

A geometry-optimized Ba2LaMnZn structure. Source: Alexandria via LeMat-Bulk, functional PBE.

* electronic total energy: -3.0748 eV per atom
* D(E_F): 5.50 states/eV/f.u.
* symmetry: P4/mmm, No. 123
* calculated density: 4.5 Mg/m³
* formation enthalpy at 0 K: 0.77 eV per atom

Cell lengths 6.557, 4.612, 6.557 Å; angles 90.00, 90.00, 90.00 degrees
Each line ends with the local moment (μB).
Fractional positions:
Ba 0.500 0.000 0.000  -0.03
Ba 0.000 0.000 0.500  -0.08
Zn 0.500 0.500 0.500  0.01
La 0.000 0.000 0.000  -0.26
Mn 0.000 0.500 0.000  2.08

***

A geometry-optimized PaGeRh structure. Source: Alexandria via LeMat-Bulk, functional PBE.

* electronic total energy: -7.8297 eV per atom
* D(E_F): 1.24 states/eV/f.u.
* symmetry: F-43m, No. 216
* calculated density: 10.3 Mg/m³
* formation enthalpy at 0 K: -0.67 eV per atom

Cell lengths 4.520, 4.520, 4.520 Å; angles 60.00, 60.00, 60.00 degrees
Fractional positions:
Ge 0.500 0.500 0.500
Rh 0.250 0.250 0.250
Pa 0.000 0.000 0.000

***

A geometry-optimized SmHo3Sb4 structure. Source: Alexandria via LeMat-Bulk, functional PBE.

* electronic total energy: -5.4972 eV per atom
* energy relative to the elements, uncorrected: -1.129 eV/atom
* D(E_F): 0.50 states/eV/f.u.
* symmetry: Pm-3m, No. 221
* calculated density: 7.8 Mg/m³

Cell lengths 6.211, 6.211, 6.211 Å; angles 90.00, 90.00, 90.00 degrees
Fractional positions:
Sb 0.000 0.500 0.000
Sb 0.000 0.000 0.500
Sb 0.500 0.500 0.500
Ho 0.500 0.000 0.500
Ho 0.000 0.500 0.500
Sb 0.500 0.000 0.000
Ho 0.500 0.500 0.000
Sm 0.000 0.000 0.000

***

A geometry-optimized ZnNiOs2 structure. Source: Alexandria via LeMat-Bulk, functional PBE.

* electronic total energy: -7.1699 eV per atom
* D(E_F): 5.10 states/eV/f.u.
* symmetry: C2/m, No. 12
* calculated density: 15.5 Mg/m³
* formation enthalpy at 0 K: 0.21 eV per atom

Cell lengths 4.594, 4.594, 4.653 Å; angles 79.85, 79.85, 34.13 degrees
Fractional positions:
Zn 0.250 0.250 0.250
Os 0.007 0.007 0.991
Ni 0.750 0.750 0.750
Os 0.493 0.493 0.509